(1)
A geometry-optimized BaLi4InSn2 structure, computed with PBE.

It has space group R-3m (No. 166, hexagonal axes), with a = 4.8325 Å, b = 4.8325 Å, c = 28.6356 Å, α = 90.00°, β = 90.00° and γ = 120.00°. The inequivalent atoms are Ba at (0.0000, 0.0000, 0.0000), Li at (0.0000, 0.0000, 0.1311), Li at (0.0000, 0.0000, 0.4077), In at (0.0000, 0.0000, 0.5000) and Sn at (0.0000, 0.0000, 0.2449).

The density of states at the Fermi level comes out at 8.4 states/eV per cell. The calculation puts the formation energy at -0.367 eV/atom. As for the mass density: 4.45 g/cm3.


(2)
A geometry-optimized Ba3Sr2Li2In4 structure, computed with PBE.

It has space group P-3m1 (No. 164), with a = 5.6473 Å, b = 5.6473 Å, c = 15.1032 Å, α = 90.00°, β = 90.00° and γ = 120.00°. The inequivalent atoms are Ba at (0.0000, 0.0000, 0.0000), Ba at (0.0000, 0.0000, 0.2575), Sr at (0.3333, 0.6667, 0.5784), Li at (0.3333, 0.6667, 0.1442), In at (0.3333, 0.6667, 0.3416) and In at (0.3333, 0.6667, 0.8511).

The density of states at the Fermi level comes out at 11.9 states/eV per cell. The calculation puts the formation energy at -0.214 eV/atom. As for the mass density: 4.22 g/cm3.


(3)
A geometry-optimized BaSrLiIn2 structure, computed with PBE.

It has space group P4/mmm (No. 123), with a = 6.153 Å, b = 6.153 Å, c = 6.656 Å, α = 90.00°, β = 90.00° and γ = 90.00°. The inequivalent atoms are Ba at (0.000, 0.000, 0.000), Sr at (0.000, 0.000, 0.500), Li at (0.500, 0.500, 0.000) and In at (0.000, 0.500, 0.500).

The density of states at the Fermi level comes out at 4.6 states/eV per cell. The calculation puts the formation energy at 0.549 eV/atom. As for the mass density: 3.04 g/cm3.


(4)
A geometry-optimized BaSrLiIn structure, computed with PBE.

It has space group F-43m (No. 216), with a = 8.407 Å, b = 8.407 Å, c = 8.407 Å, α = 90.00°, β = 90.00° and γ = 90.00°. The inequivalent atoms are Ba at (0.000, 0.000, 0.000), Sr at (0.000, 0.000, 0.500), Li at (0.250, 0.250, 0.250) and In at (0.250, 0.250, 0.750).

The density of states at the Fermi level comes out at 17.1 states/eV per cell. The calculation puts the formation energy at -0.229 eV/atom. As for the mass density: 3.88 g/cm3.


(5)
A geometry-optimized BaLiTbIn structure, computed with PBE.

It has space group F-43m (No. 216), with a = 8.022 Å, b = 8.022 Å, c = 8.022 Å, α = 90.00°, β = 90.00° and γ = 90.00°. The inequivalent atoms are Ba at (0.000, 0.000, 0.000), Li at (0.250, 0.250, 0.250), Tb at (0.000, 0.000, 0.500) and In at (0.250, 0.250, 0.750).

The density of states at the Fermi level comes out at 17.7 states/eV per cell. The calculation puts the formation energy at -0.107 eV/atom. As for the mass density: 5.38 g/cm3.


(6)
A geometry-optimized BaLiIn2Te4 structure, computed with PBE.

It has space group I222 (No. 23), with a = 7.779 Å, b = 8.044 Å, c = 8.342 Å, α = 90.00°, β = 90.00° and γ = 90.00°. The inequivalent atoms are Ba at (0.000, 0.000, 0.000), Li at (0.000, 0.500, 0.000), In at (0.000, 0.314, 0.500) and Te at (0.239, 0.349, 0.188).

The density of states at the Fermi level comes out at 9.4 states/eV per cell. The total energy comes out at -54.6 eV/cell. As for the mass density: 5.63 g/cm3.


(7)
A geometry-optimized BaLi2TiIn structure, computed with PBE.

It has space group P4/mmm (No. 123), with a = 4.863 Å, b = 4.863 Å, c = 6.086 Å, α = 90.00°, β = 90.00° and γ = 90.00°. The inequivalent atoms are Ba at (0.000, 0.000, 0.000), Li at (0.000, 0.500, 0.000), Ti at (0.500, 0.500, 0.500) and In at (0.000, 0.000, 0.500).

The density of states at the Fermi level comes out at 6.0 states/eV per cell. The calculation puts the formation energy at 1.317 eV/atom. As for the mass density: 3.62 g/cm3.


(8)
A geometry-optimized BaLiTlIn2 structure, computed with PBE.

It has space group P4/mmm (No. 123), with a = 5.264 Å, b = 5.264 Å, c = 5.341 Å, α = 90.00°, β = 90.00° and γ = 90.00°. The inequivalent atoms are Ba at (0.000, 0.000, 0.000), Li at (0.500, 0.500, 0.500), Tl at (0.500, 0.500, 0.000) and In at (0.000, 0.500, 0.500).

The density of states at the Fermi level comes out at 2.9 states/eV per cell. The calculation puts the formation energy at -0.218 eV/atom. As for the mass density: 6.49 g/cm3.


(9)
A geometry-optimized BaLi2TlIn structure, computed with PBE.

It has space group P4/mmm (No. 123), with a = 6.273 Å, b = 6.273 Å, c = 6.734 Å, α = 90.00°, β = 90.00° and γ = 90.00°. The inequivalent atoms are Ba at (0.000, 0.000, 0.000), Li at (0.000, 0.500, 0.000), Tl at (0.500, 0.500, 0.500) and In at (0.000, 0.000, 0.500).

The density of states at the Fermi level comes out at 6.5 states/eV per cell. The calculation puts the formation energy at 0.769 eV/atom. As for the mass density: 2.95 g/cm3.


(10)
A geometry-optimized BaLi4Tl2In structure, computed with PBE.

It has space group R-3m (No. 166, hexagonal axes), with a = 4.8197 Å, b = 4.8197 Å, c = 29.9890 Å, α = 90.00°, β = 90.00° and γ = 120.00°. The inequivalent atoms are Ba at (0.0000, 0.0000, 0.0000), Li at (0.0000, 0.0000, 0.1354), Li at (0.0000, 0.0000, 0.4106), Tl at (0.0000, 0.0000, 0.2438) and In at (0.0000, 0.0000, 0.5000).

The density of states at the Fermi level comes out at 15.9 states/eV per cell. The calculation puts the formation energy at -0.229 eV/atom. As for the mass density: 5.69 g/cm3.


(11)
A geometry-optimized Ba2LiTlIn6 structure, computed with PBE.

It has space group R-3m (No. 166, hexagonal axes), with a = 7.2959 Å, b = 7.2959 Å, c = 40.4142 Å, α = 90.00°, β = 90.00° and γ = 120.00°. The inequivalent atoms are Ba at (0.0000, 0.0000, 0.1048), Ba at (0.0000, 0.0000, 0.2760), Li at (0.0000, 0.0000, 0.0000), Li at (0.0000, 0.0000, 0.5000), Tl at (0.0000, 0.0000, 0.4251), In at (0.0501, 0.5251, 0.3063) and In at (0.0567, 0.5283, 0.8601).

The density of states at the Fermi level comes out at 32.1 states/eV per cell. The calculation puts the formation energy at -0.255 eV/atom. As for the mass density: 6.28 g/cm3.


(12)
A geometry-optimized BaLi4TlIn2 structure, computed with PBE.

It has space group R-3m (No. 166, hexagonal axes), with a = 4.8397 Å, b = 4.8397 Å, c = 29.8130 Å, α = 90.00°, β = 90.00° and γ = 120.00°. The inequivalent atoms are Ba at (0.0000, 0.0000, 0.0000), Li at (0.0000, 0.0000, 0.1340), Li at (0.0000, 0.0000, 0.4100), Tl at (0.0000, 0.0000, 0.5000) and In at (0.0000, 0.0000, 0.2445).

The density of states at the Fermi level comes out at 16.2 states/eV per cell. The calculation puts the formation energy at -0.231 eV/atom. As for the mass density: 4.94 g/cm3.


(13)
A geometry-optimized Ba2LiTl6In structure, computed with PBE.

It has space group C2/m (No. 12), with a = 11.062 Å, b = 11.065 Å, c = 7.789 Å, α = 90.00°, β = 134.51° and γ = 90.00°. The inequivalent atoms are Ba at (0.000, 0.250, 0.000), Li at (0.000, 0.000, 0.500), Tl at (0.000, 0.235, 0.500), Tl at (0.232, 0.000, 0.495), Tl at (0.235, 0.000, 0.968) and In at (0.000, 0.500, 0.500).

The density of states at the Fermi level comes out at 11.3 states/eV per cell. The calculation puts the formation energy at -0.144 eV/atom. As for the mass density: 7.93 g/cm3.


(14)
A geometry-optimized Ba2Li2Tl5In structure, computed with PBE.

It has space group P4/mbm (No. 127), with a = 11.606 Å, b = 11.606 Å, c = 4.360 Å, α = 90.00°, β = 90.00° and γ = 90.00°. The inequivalent atoms are Ba at (0.184, 0.316, 0.000), Li at (0.110, 0.610, 0.000), Tl at (0.000, 0.500, 0.500), Tl at (0.057, 0.797, 0.500) and In at (0.000, 0.000, 0.000).

The density of states at the Fermi level comes out at 8.8 states/eV per cell. The calculation puts the formation energy at -0.263 eV/atom. As for the mass density: 8.06 g/cm3.


(15)
A geometry-optimized Ba2LiTl3In4 structure, computed with PBE.

It has space group P-4m2 (No. 115), with a = 4.930 Å, b = 4.930 Å, c = 12.953 Å, α = 90.00°, β = 90.00° and γ = 90.00°. The inequivalent atoms are Ba at (0.000, 0.500, 0.247), Li at (0.000, 0.000, 0.500), Tl at (0.000, 0.500, 0.856), Tl at (0.500, 0.500, 0.500), In at (0.000, 0.000, 0.000), In at (0.000, 0.500, 0.629) and In at (0.500, 0.500, 0.000).

The density of states at the Fermi level comes out at 3.3 states/eV per cell. The calculation puts the formation energy at -0.291 eV/atom. As for the mass density: 7.14 g/cm3.


(16)
A geometry-optimized BaLiTlIn structure, computed with PBE.

It has space group F-43m (No. 216), with a = 7.825 Å, b = 7.825 Å, c = 7.825 Å, α = 90.00°, β = 90.00° and γ = 90.00°. The inequivalent atoms are Ba at (0.000, 0.000, 0.000), Li at (0.250, 0.250, 0.750), Tl at (0.250, 0.250, 0.250) and In at (0.000, 0.000, 0.500).

The density of states at the Fermi level comes out at 11.1 states/eV per cell. The calculation puts the formation energy at -0.263 eV/atom. As for the mass density: 6.43 g/cm3.


(17)
A geometry-optimized Ba2LiTl4In3 structure, computed with PBE.

It has space group P-4m2 (No. 115), with a = 5.032 Å, b = 5.032 Å, c = 12.589 Å, α = 90.00°, β = 90.00° and γ = 90.00°. The inequivalent atoms are Ba at (0.000, 0.500, 0.248), Li at (0.000, 0.000, 0.500), Tl at (0.000, 0.000, 0.000), Tl at (0.000, 0.500, 0.627), Tl at (0.500, 0.500, 0.000), In at (0.000, 0.500, 0.859) and In at (0.500, 0.500, 0.500).

The density of states at the Fermi level comes out at 4.3 states/eV per cell. The calculation puts the formation energy at -0.294 eV/atom. As for the mass density: 7.52 g/cm3.


(18)
A geometry-optimized BaLiV2In structure, computed with PBE.

It has space group P4/mmm (No. 123), with a = 5.363 Å, b = 5.363 Å, c = 5.139 Å, α = 90.00°, β = 90.00° and γ = 90.00°. The inequivalent atoms are Ba at (0.000, 0.000, 0.000), Li at (0.500, 0.500, 0.000), V at (0.000, 0.500, 0.500) and In at (0.500, 0.500, 0.500).

The density of states at the Fermi level comes out at 4.2 states/eV per cell. The calculation puts the formation energy at 0.753 eV/atom. As for the mass density: 4.06 g/cm3.


(19)
A geometry-optimized BaLiYIn structure, computed with PBE.

It has space group F-43m (No. 216), with a = 8.019 Å, b = 8.019 Å, c = 8.019 Å, α = 90.00°, β = 90.00° and γ = 90.00°. The inequivalent atoms are Ba at (0.000, 0.000, 0.000), Li at (0.250, 0.250, 0.250), Y at (0.000, 0.000, 0.500) and In at (0.250, 0.250, 0.750).

The density of states at the Fermi level comes out at 17.5 states/eV per cell. The calculation puts the formation energy at -0.124 eV/atom. As for the mass density: 4.48 g/cm3.


(20)
A geometry-optimized BaLi4ZnIn2 structure, computed with PBE.

It has space group R-3m (No. 166, hexagonal axes), with a = 4.7038 Å, b = 4.7038 Å, c = 29.5646 Å, α = 90.00°, β = 90.00° and γ = 120.00°. The inequivalent atoms are Ba at (0.0000, 0.0000, 0.0000), Li at (0.0000, 0.0000, 0.1384), Li at (0.0000, 0.0000, 0.4146), Zn at (0.0000, 0.0000, 0.5000) and In at (0.0000, 0.0000, 0.2376).

The density of states at the Fermi level comes out at 14.8 states/eV per cell. The calculation puts the formation energy at -0.199 eV/atom. As for the mass density: 4.05 g/cm3.


(21)
A geometry-optimized BaLi2ZnIn structure, computed with PBE.

It has space group P4/mmm (No. 123), with a = 5.223 Å, b = 5.223 Å, c = 5.234 Å, α = 90.00°, β = 90.00° and γ = 90.00°. The inequivalent atoms are Ba at (0.000, 0.000, 0.000), Li at (0.000, 0.500, 0.500), Zn at (0.500, 0.500, 0.500) and In at (0.500, 0.500, 0.000).

The density of states at the Fermi level comes out at 3.7 states/eV per cell. The calculation puts the formation energy at -0.100 eV/atom. As for the mass density: 3.85 g/cm3. As for the energy above the most stable polymorph in this dataset: 0 meV/atom.


(22)
A geometry-optimized Ba2LiZn3In4 structure, computed with PBE.

It has space group P-4m2 (No. 115), with a = 4.808 Å, b = 4.808 Å, c = 11.564 Å, α = 90.00°, β = 90.00° and γ = 90.00°. The inequivalent atoms are Ba at (0.000, 0.500, 0.248), Li at (0.500, 0.500, 0.000), Zn at (0.000, 0.000, 0.000), Zn at (0.000, 0.500, 0.637), In at (0.000, 0.000, 0.500), In at (0.000, 0.500, 0.878) and In at (0.500, 0.500, 0.500).

The density of states at the Fermi level comes out at 8.9 states/eV per cell. The calculation puts the formation energy at -0.293 eV/atom. As for the mass density: 5.82 g/cm3.


(23)
A geometry-optimized BaLiZnIn structure, computed with PBE.

It has space group F-43m (No. 216), with a = 7.452 Å, b = 7.452 Å, c = 7.452 Å, α = 90.00°, β = 90.00° and γ = 90.00°. The inequivalent atoms are Ba at (0.000, 0.000, 0.000), Li at (0.250, 0.250, 0.250), Zn at (0.250, 0.250, 0.750) and In at (0.000, 0.000, 0.500).

The density of states at the Fermi level comes out at 5.1 states/eV per cell. The calculation puts the formation energy at -0.221 eV/atom. As for the mass density: 5.21 g/cm3. As for the energy above the most stable polymorph in this dataset: 69 meV/atom.


(24)
A geometry-optimized Ba2LiZnIn6 structure, computed with PBE.

It has space group C2/m (No. 12), with a = 12.510 Å, b = 7.192 Å, c = 7.987 Å, α = 90.00°, β = 121.99° and γ = 90.00°. The inequivalent atoms are Ba at (0.213, 0.000, 0.138), Li at (0.000, 0.500, 0.000), Zn at (0.000, 0.000, 0.500), In at (0.034, 0.286, 0.318) and In at (0.249, 0.500, 0.322).

The density of states at the Fermi level comes out at 7.6 states/eV per cell. The calculation puts the formation energy at -0.233 eV/atom. As for the mass density: 5.64 g/cm3.


(25)
A geometry-optimized BaLiZnIn structure, computed with PBE.

It has space group Cm (No. 8), with a = 8.235 Å, b = 4.757 Å, c = 6.453 Å, α = 90.00°, β = 115.10° and γ = 90.00°. The inequivalent atoms are Ba at (0.000, 0.000, 0.000), Li at (0.309, 0.500, 0.427), Zn at (0.196, 0.000, 0.590) and In at (0.007, 0.500, 0.520).

The density of states at the Fermi level comes out at 3.2 states/eV per cell. The calculation puts the formation energy at -0.290 eV/atom. As for the mass density: 4.71 g/cm3. As for the energy above the most stable polymorph in this dataset: 0 meV/atom.